1.
Y2NbRu2 at its PBEsol-relaxed geometry, computed with meta-GGA SCAN.

DFT total energy ... -156.59 eV per cell
Formation enthalpy at 0 K ... 376 meV/atom
E above lowest polymorph ... 3.27 eV/f.u.
Space-group type ... I4/mmm

a b c (Å): 9.594 9.594 9.594
angles (deg): 159.56 159.56 29.06
Atoms (fractional coordinates):
Y 0.114 0.114 0.000
Y 0.886 0.886 0.000
Nb 0.500 0.500 0.000
Ru 0.250 0.750 0.500
Ru 0.750 0.250 0.500



2.
ZrNbRu3 at its PBEsol-relaxed geometry, computed with meta-GGA SCAN.

DFT total energy ... -163.46 eV per cell
Formation enthalpy at 0 K ... 969 meV/atom
Space-group type ... Pm-3m

a b c (Å): 4.599 4.599 4.599
angles (deg): 90.00 90.00 90.00
Atoms (fractional coordinates):
Zr 0.000 0.000 0.000
Nb 0.500 0.500 0.500
Ru 0.000 0.500 0.500
Ru 0.500 0.000 0.500
Ru 0.500 0.500 0.000



3.
NbS3 at its PBEsol-relaxed geometry, computed with meta-GGA SCAN.

DFT total energy ... -130.70 eV per cell
Space-group type ... P2_1/m
Energy relative to the elements, uncorrected ... -80.4 kJ/mol of atoms

a b c (Å): 4.832 3.323 9.076
angles (deg): 90.00 97.63 90.00
Atoms (fractional coordinates):
Nb 0.210 0.250 0.340
Nb 0.790 0.750 0.660
S 0.067 0.250 0.827
S 0.263 0.750 0.551
S 0.402 0.750 0.172
S 0.598 0.250 0.828
S 0.737 0.250 0.449
S 0.933 0.750 0.173



4.
NbS2 at its PBEsol-relaxed geometry, computed with meta-GGA SCAN.

DFT total energy ... -223.16 eV per cell
Space-group type ... Cmc2_1
Energy relative to the elements, uncorrected ... -109.5 kJ/mol of atoms

a b c (Å): 3.309 3.309 23.682
angles (deg): 90.00 90.00 119.99
Atoms (fractional coordinates):
Nb 0.165 0.835 0.500
Nb 0.168 0.832 0.747
Nb 0.832 0.168 0.247
Nb 0.835 0.165 0.000
S 0.165 0.835 0.181
S 0.165 0.835 0.313
S 0.498 0.502 0.434
S 0.498 0.502 0.566
S 0.502 0.498 0.066
S 0.502 0.498 0.934
S 0.835 0.165 0.681
S 0.835 0.165 0.813



5.
NbS2 at its PBEsol-relaxed geometry, computed with meta-GGA SCAN.

DFT total energy ... -55.77 eV per cell
Space-group type ... P-6m2
Energy relative to the elements, uncorrected ... -108.7 kJ/mol of atoms

a b c (Å): 3.308 3.308 6.571
angles (deg): 90.00 90.00 120.00
Atoms (fractional coordinates):
Nb 0.000 0.000 0.000
S 0.667 0.333 0.238
S 0.667 0.333 0.762



6.
NbS at its PBEsol-relaxed geometry, computed with meta-GGA SCAN.

DFT total energy ... -89.49 eV per cell
Space-group type ... P6_3/mmc
Energy relative to the elements, uncorrected ... -95.8 kJ/mol of atoms

a b c (Å): 3.266 3.266 6.623
angles (deg): 90.00 90.00 120.00
Atoms (fractional coordinates):
Nb 0.000 0.000 0.000
Nb 0.000 0.000 0.500
S 0.333 0.667 0.250
S 0.667 0.333 0.750



7.
Nb7S8 at its PBEsol-relaxed geometry, computed with meta-GGA SCAN.

DFT total energy ... -325.16 eV per cell
Space-group type ... P3m1
Energy relative to the elements, uncorrected ... -104.4 kJ/mol of atoms

a b c (Å): 6.623 6.623 6.441
angles (deg): 90.00 90.00 120.00
Atoms (fractional coordinates):
Nb 0.000 0.000 0.000
Nb 0.039 0.520 0.506
Nb 0.480 0.520 0.506
Nb 0.480 0.961 0.506
Nb 0.518 0.035 0.004
Nb 0.518 0.482 0.004
Nb 0.965 0.482 0.004
S 0.163 0.325 0.251
S 0.163 0.837 0.251
S 0.324 0.162 0.740
S 0.333 0.667 0.786
S 0.667 0.333 0.286
S 0.675 0.837 0.251
S 0.838 0.162 0.740
S 0.838 0.676 0.740



8.
Nb21S8 at its PBEsol-relaxed geometry, computed with meta-GGA SCAN.

DFT total energy ... -790.93 eV per cell
Space-group type ... I4/m
Energy relative to the elements, uncorrected ... -60.5 kJ/mol of atoms

a b c (Å): 11.962 11.962 11.962
angles (deg): 91.12 91.12 163.95
Atoms (fractional coordinates):
Nb 0.000 0.000 0.000
Nb 0.021 0.722 0.743
Nb 0.081 0.450 0.531
Nb 0.185 0.616 0.801
Nb 0.192 0.198 0.390
Nb 0.198 0.808 0.006
Nb 0.278 0.021 0.299
Nb 0.365 0.549 0.914
Nb 0.384 0.185 0.570
Nb 0.450 0.919 0.369
Nb 0.451 0.365 0.816
Nb 0.549 0.635 0.184
Nb 0.550 0.081 0.631
Nb 0.616 0.815 0.430
Nb 0.635 0.451 0.086
Nb 0.722 0.979 0.701
Nb 0.802 0.192 0.994
Nb 0.808 0.802 0.610
Nb 0.815 0.384 0.199
Nb 0.919 0.550 0.469
Nb 0.979 0.278 0.257
S 0.064 0.863 0.927
S 0.137 0.064 0.202
S 0.213 0.364 0.577
S 0.364 0.787 0.151
S 0.636 0.213 0.849
S 0.787 0.636 0.423
S 0.863 0.936 0.798
S 0.936 0.137 0.073



9.
NbS at its PBEsol-relaxed geometry, computed with meta-GGA SCAN.

DFT total energy ... -44.75 eV per cell
Space-group type ... P-6m2
Energy relative to the elements, uncorrected ... -95.9 kJ/mol of atoms

a b c (Å): 3.278 3.278 3.295
angles (deg): 90.00 90.00 120.00
Atoms (fractional coordinates):
Nb 0.000 0.000 0.000
S 0.667 0.333 0.500



10.
NbS2 at its PBEsol-relaxed geometry, computed with meta-GGA SCAN.

DFT total energy ... -55.63 eV per cell
Space-group type ... P-3m1
Energy relative to the elements, uncorrected ... -104.5 kJ/mol of atoms

a b c (Å): 3.319 3.319 5.843
angles (deg): 90.00 90.00 120.00
Atoms (fractional coordinates):
Nb 0.000 0.000 0.000
S 0.333 0.667 0.267
S 0.667 0.333 0.733



11.
NbS2 at its PBEsol-relaxed geometry, computed with meta-GGA SCAN.

DFT total energy ... -55.80 eV per cell
Space-group type ... R3m
Energy relative to the elements, uncorrected ... -109.7 kJ/mol of atoms

a b c (Å): 6.304 6.304 6.304
angles (deg): 30.40 30.40 30.40
Atoms (fractional coordinates):
Nb 0.000 0.000 0.000
S 0.580 0.580 0.580
S 0.753 0.753 0.753



12.
NbS2 at its PBEsol-relaxed geometry, computed with meta-GGA SCAN.

DFT total energy ... -55.78 eV per cell
Space-group type ... Fmm2
Energy relative to the elements, uncorrected ... -109.1 kJ/mol of atoms

a b c (Å): 6.676 3.300 6.259
angles (deg): 82.37 29.34 68.30
Atoms (fractional coordinates):
Nb 0.000 0.000 0.000
S 0.204 0.464 0.536
S 0.464 0.204 0.796



13.
NbS2 at its PBEsol-relaxed geometry, computed with meta-GGA SCAN.

DFT total energy ... -111.49 eV per cell
Space-group type ... P6_3/mmc
Energy relative to the elements, uncorrected ... -108.0 kJ/mol of atoms

a b c (Å): 3.307 3.307 11.690
angles (deg): 90.00 90.00 120.00
Atoms (fractional coordinates):
Nb 0.000 0.000 0.250
Nb 0.000 0.000 0.750
S 0.333 0.667 0.116
S 0.333 0.667 0.384
S 0.667 0.333 0.616
S 0.667 0.333 0.884



14.
NbS2 at its PBEsol-relaxed geometry, computed with meta-GGA SCAN.

DFT total energy ... -55.61 eV per cell
Space-group type ... R-3m
Energy relative to the elements, uncorrected ... -103.6 kJ/mol of atoms

a b c (Å): 6.808 6.808 6.808
angles (deg): 28.27 28.27 28.27
Atoms (fractional coordinates):
Nb 0.000 0.000 0.000
S 0.413 0.413 0.413
S 0.587 0.587 0.587



15.
NbSb3S at its PBEsol-relaxed geometry, computed with meta-GGA SCAN.

DFT total energy ... -150.17 eV per cell
Space-group type ... Pm-3m
Energy relative to the elements, uncorrected ... 84.3 kJ/mol of atoms

a b c (Å): 5.006 5.006 5.006
angles (deg): 90.00 90.00 90.00
Atoms (fractional coordinates):
Nb 0.000 0.000 0.000
Sb 0.000 0.500 0.500
Sb 0.500 0.000 0.500
Sb 0.500 0.500 0.000
S 0.500 0.500 0.500



16.
Nb2TlSbS at its PBEsol-relaxed geometry, computed with meta-GGA SCAN.

DFT total energy ... -182.86 eV per cell
Space-group type ... P4/mmm
Energy relative to the elements, uncorrected ... 51.1 kJ/mol of atoms

a b c (Å): 4.603 4.603 5.406
angles (deg): 90.00 90.00 90.00
Atoms (fractional coordinates):
Nb 0.000 0.500 0.000
Nb 0.500 0.000 0.000
Tl 0.000 0.000 0.500
Sb 0.500 0.500 0.500
S 0.000 0.000 0.000



17.
Nb2Se2S at its PBEsol-relaxed geometry, computed with meta-GGA SCAN.

DFT total energy ... -116.53 eV per cell
Space-group type ... I4/mmm
Energy relative to the elements, uncorrected ... -9.5 kJ/mol of atoms

a b c (Å): 6.327 6.327 6.327
angles (deg): 140.99 140.99 56.35
Atoms (fractional coordinates):
Nb 0.117 0.117 0.000
Nb 0.883 0.883 0.000
Se 0.250 0.750 0.500
Se 0.750 0.250 0.500
S 0.500 0.500 0.000



18.
Nb2SeS at its PBEsol-relaxed geometry, computed with meta-GGA SCAN.

DFT total energy ... -98.00 eV per cell
Space-group type ... Fm-3m
Energy relative to the elements, uncorrected ... -49.0 kJ/mol of atoms

a b c (Å): 4.438 4.438 4.438
angles (deg): 60.00 60.00 60.00
Atoms (fractional coordinates):
Nb 0.250 0.250 0.250
Nb 0.750 0.750 0.750
Se 0.000 0.000 0.000
S 0.500 0.500 0.500



19.
Nb3SiS at its PBEsol-relaxed geometry, computed with meta-GGA SCAN.

DFT total energy ... -117.85 eV per cell
Space-group type ... Pm-3m
Energy relative to the elements, uncorrected ... 22.9 kJ/mol of atoms

a b c (Å): 4.501 4.501 4.501
angles (deg): 90.00 90.00 90.00
Atoms (fractional coordinates):
Nb 0.000 0.000 0.500
Nb 0.000 0.500 0.000
Nb 0.500 0.000 0.000
Si 0.500 0.500 0.500
S 0.000 0.000 0.000



20.
NbSnS3 at its PBEsol-relaxed geometry, computed with meta-GGA SCAN.

DFT total energy ... -95.10 eV per cell
Space-group type ... Pm-3m
Energy relative to the elements, uncorrected ... 54.7 kJ/mol of atoms

a b c (Å): 4.829 4.829 4.829
angles (deg): 90.00 90.00 90.00
Atoms (fractional coordinates):
Nb 0.000 0.000 0.000
Sn 0.500 0.500 0.500
S 0.000 0.500 0.500
S 0.500 0.000 0.500
S 0.500 0.500 0.000